# 1
# Hf4MnTc | the Alexandria database | PBE | relaxed
# ΔH_f (0 K) = 6.5 kJ per mole of atoms
# Uncorrected energy = -9.824 eV/atom
# Size of the total moment = 0.0 Bohr magnetons per cell
data_Hf4MnTc
_chemical_formula_sum 'Hf4 Mn1 Tc1'
_symmetry_space_group_name_H-M 'P 1'
_symmetry_Int_Tables_number 1
_symmetry_space_group_name_Hall 'P 1'
_cell_length_a 4.449
_cell_length_b 4.449
_cell_length_c 6.292
_cell_angle_alpha 90.00
_cell_angle_beta 90.00
_cell_angle_gamma 90.00
loop_
_atom_site_label
_atom_site_type_symbol
_atom_site_fract_x
_atom_site_fract_y
_atom_site_fract_z
Hf1 Hf 0.000 0.500 0.242
Hf2 Hf 0.000 0.500 0.758
Hf3 Hf 0.500 0.000 0.242
Hf4 Hf 0.500 0.000 0.758
Mn1 Mn 0.000 0.000 0.000
Tc1 Tc 0.500 0.500 0.500


# 2
# NbMoIr2 | the Alexandria database | PBE | relaxed
# ΔH_f (0 K) = 7.6 kJ per mole of atoms
# Uncorrected energy = -9.577 eV/atom
# Size of the total moment = 0.0 Bohr magnetons per cell
data_NbMoIr2
_chemical_formula_sum 'Nb4 Mo4 Ir8'
_symmetry_space_group_name_H-M 'P 1'
_symmetry_Int_Tables_number 1
_symmetry_space_group_name_Hall 'P 1'
_cell_length_a 6.361
_cell_length_b 6.361
_cell_length_c 6.361
_cell_angle_alpha 90.00
_cell_angle_beta 90.00
_cell_angle_gamma 90.00
loop_
_atom_site_label
_atom_site_type_symbol
_atom_site_fract_x
_atom_site_fract_y
_atom_site_fract_z
Nb1 Nb 0.000 0.000 0.000
Nb2 Nb 0.000 0.500 0.500
Nb3 Nb 0.500 0.000 0.500
Nb4 Nb 0.500 0.500 0.000
Mo1 Mo 0.000 0.000 0.500
Mo2 Mo 0.000 0.500 0.000
Mo3 Mo 0.500 0.000 0.000
Mo4 Mo 0.500 0.500 0.500
Ir1 Ir 0.250 0.250 0.250
Ir2 Ir 0.250 0.250 0.750
Ir3 Ir 0.250 0.750 0.250
Ir4 Ir 0.250 0.750 0.750
Ir5 Ir 0.750 0.250 0.250
Ir6 Ir 0.750 0.250 0.750
Ir7 Ir 0.750 0.750 0.250
Ir8 Ir 0.750 0.750 0.750


What is the uncorrected energy in the second record? -9.577 eV/atom


What is the ΔH_f (0 K) in the second record? 7.6 kJ per mole of atoms


Which formula does entry 2 have? NbMoIr2